# 1
The following is a SCAN calculation of a PBEsol-optimized structure of P2IN, from Alexandria via LeMat-Bulk.

Geometry as POSCAR:
```
P2IN
1.0
4.4640 0.0000 0.0000
2.2320 3.8659 0.0000
2.2320 1.2886 3.6448
P N I
2 1 1
direct
0.7500 0.7500 0.7500 P
0.2500 0.2500 0.2500 P
0.0000 0.0000 0.0000 N
0.5000 0.5000 0.5000 I
```

M_tot, μB/atom: 0.00

***

# 2
The following is a SCAN calculation of a PBEsol-optimized structure of PI2N, from Alexandria via LeMat-Bulk.

Geometry as POSCAR:
```
PI2N
1.0
6.0982 0.0350 0.0566
-2.3008 5.6476 -0.0566
-2.3008 -2.5725 5.0279
P N I
2 2 4
direct
0.0000 0.0000 0.0000 P
0.5000 0.7500 0.2500 P
0.0000 0.5000 0.5000 N
0.5000 0.2500 0.7500 N
0.4635 0.8750 0.8385 I
0.5365 0.3750 0.4115 I
0.9635 0.5885 0.1250 I
0.0365 0.1615 0.6250 I
```

M_tot, μB/atom: 0.00

***

# 3
The following is a SCAN calculation of a PBEsol-optimized structure of P3IN, from Alexandria via LeMat-Bulk.

Geometry as POSCAR:
```
P3IN
1.0
-3.5896 3.6830 -0.0270
-3.6816 -3.5890 -0.1243
-0.1079 -0.0674 5.1414
N P I
1 3 1
direct
0.5000 0.5000 0.5000 N
0.0000 0.0000 0.5000 P
0.0000 0.5000 0.0000 P
0.5000 0.0000 0.0000 P
0.0000 0.0000 0.0000 I
```

M_tot, μB/atom: 0.13

***

# 4
The following is a SCAN calculation of a PBEsol-optimized structure of RePI2N, from Alexandria via LeMat-Bulk.

Geometry as POSCAR:
```
RePI2N
1.0
-0.7667 3.6600 -0.0249
-0.6763 -0.1780 -5.3315
-5.2193 -1.0886 0.6984
P I Re N
1 2 1 1
direct
0.5000 0.5000 0.5000 P
0.0000 0.5000 0.0000 I
0.0000 0.0000 0.5000 I
0.0000 0.0000 0.0000 Re
0.5000 0.0000 0.0000 N
```

M_tot, μB/atom: 0.00

***

no.,formation energy (no corrections) (eV per atom)
1,2.106
2,1.532
3,2.653
4,0.946